1.
A relaxed structure of Tb4HgPtRh2, computed with PBE-GGA.

Cell: 8.684 8.684 8.684 Å, 33.37 33.37 33.37°
Fractional positions:
Tb: 0.120 0.120 0.120
Tb: 0.371 0.371 0.371
Tb: 0.629 0.629 0.629
Tb: 0.880 0.880 0.880
Hg: 0.500 0.500 0.500
Pt: 0.000 0.000 0.000
Rh: 0.250 0.250 0.250
Rh: 0.750 0.750 0.750

As for the magnetization: 0.0 μB/f.u. The calculation puts the raw total energy at -5.762 eV per atom. As for the space group: R-3m. For the theoretical density, the calculation gives 11.64 g cm⁻³.



2.
A relaxed structure of Na2LaSbS4, computed with PBE-GGA.

Cell: 8.222 8.222 8.222 Å, 121.14 118.80 90.06°
Fractional positions:
Na: 0.000 0.000 0.000
Na: 0.500 0.000 0.000
Na: 0.500 0.000 0.500
Na: 0.500 0.500 0.500
La: 0.000 0.500 0.500
La: 0.500 0.500 0.000
Sb: 0.000 0.000 0.500
Sb: 0.000 0.500 0.000
S: 0.230 0.748 0.483
S: 0.235 0.252 0.983
S: 0.240 0.246 0.506
S: 0.240 0.734 0.994
S: 0.760 0.266 0.006
S: 0.760 0.754 0.494
S: 0.765 0.748 0.017
S: 0.770 0.252 0.517

As for the magnetization: 0.0 μB/f.u. The calculation puts the raw total energy at -4.775 eV per atom. As for the space group: Imma. For the theoretical density, the calculation gives 3.68 g cm⁻³.



3.
A relaxed structure of MgBePd2, computed with PBE-GGA.

Cell: 2.864 2.864 6.670 Å, 90.00 90.00 90.00°
Fractional positions:
Mg: 0.000 0.000 0.000
Be: 0.000 0.000 0.500
Pd: 0.500 0.500 0.289
Pd: 0.500 0.500 0.711

As for the magnetization: 0.0 μB/f.u. The calculation puts the raw total energy at -4.562 eV per atom. As for the space group: P4/mmm. For the theoretical density, the calculation gives 7.47 g cm⁻³. The calculation puts the offset from the most stable computed form at 0.000 eV/atom.



4.
A relaxed structure of RbSnN2O, computed with PBE-GGA.

Cell: 4.401 4.401 4.212 Å, 90.00 90.00 90.00°
Fractional positions:
Rb: 0.000 0.000 0.000
Sn: 0.500 0.500 0.500
N: 0.000 0.500 0.500
N: 0.500 0.000 0.500
O: 0.500 0.500 0.000

As for the magnetization: 3.0 μB/f.u. The calculation puts the raw total energy at -4.887 eV per atom. As for the space group: P4/mmm. For the theoretical density, the calculation gives 5.05 g cm⁻³.